Entry 1:
This record from the Alexandria database describes a relaxed structure of CaTe2Se. The functional is GGA-PBE.

Computed properties:
Symmetry = Pmmm

Cell and atoms, written as extended XYZ:
```
4
Lattice="4.330 0.000 0.000 0.000 4.341 0.000 0.000 0.000 6.105" Properties=species:S:1:pos:R:3 pbc="T T T"
Ca 0.000 0.000 0.000
Te 2.165 2.171 1.438
Te 2.165 2.171 4.668
Se 0.000 0.000 3.053
```



Entry 2:
This record from the Alexandria database describes a relaxed structure of Co3SiH. The functional is GGA-PBE.

Computed properties:
Symmetry = R-3
Distance to the lowest polymorph of the same formula = 23.7 kJ per mole of atoms

Cell and atoms, written as extended XYZ:
```
10
Lattice="2.198 1.269 5.788 -2.198 1.269 5.788 0.000 -2.538 5.788" Properties=species:S:1:pos:R:3 pbc="T T T"
Co -0.757 -1.223 7.633
Co -1.437 0.044 9.731
Co -0.680 1.267 7.633
Co 0.680 -1.267 9.731
Co 1.437 -0.044 7.633
Co 0.757 1.223 9.731
Si 0.000 0.000 5.797
Si 0.000 0.000 11.567
H 0.000 0.000 2.752
H 0.000 0.000 14.612
```



Entry 3:
This record from the Alexandria database describes a relaxed structure of Ta2Hg. The functional is GGA-PBE.

Computed properties:
Energy relative to the elements = 592 meV per atom
Symmetry = P6_3/mmc

Cell and atoms, written as extended XYZ:
```
12
Lattice="5.555 0.000 0.000 -2.778 4.811 0.000 0.000 0.000 9.053" Properties=species:S:1:pos:R:3 pbc="T T T"
Ta 0.000 0.000 0.000
Ta 0.000 0.000 4.526
Ta 0.000 1.600 2.263
Ta -1.392 4.011 2.263
Ta 1.385 0.800 6.789
Ta 1.392 4.011 2.263
Ta 4.170 0.800 6.789
Ta 2.778 3.211 6.789
Hg 0.000 3.207 5.104
Hg 0.000 3.207 8.475
Hg 2.778 1.604 0.578
Hg 2.778 1.604 3.948
```



Entry 4:
This record from the Alexandria database describes a relaxed structure of DyTmCCl. The functional is GGA-PBE.

Computed properties:
Symmetry = R3m

Cell and atoms, written as extended XYZ:
```
4
Lattice="1.801 1.040 6.815 -1.801 1.040 6.815 0.000 -2.080 6.815" Properties=species:S:1:pos:R:3 pbc="T T T"
Dy 0.000 0.000 0.000
Tm 0.000 0.000 16.173
C 0.000 0.000 8.166
Cl 0.000 0.000 4.627
```



Entry 5:
This record from the Alexandria database describes a relaxed structure of Y2ZnNiC. The functional is GGA-PBE.

Computed properties:
Energy relative to the elements = -334 meV per atom
Symmetry = P4/mmm

Cell and atoms, written as extended XYZ:
```
5
Lattice="4.993 0.000 0.000 0.000 4.993 0.000 0.000 0.000 3.687" Properties=species:S:1:pos:R:3 pbc="T T T"
Y 0.000 2.496 0.000
Y 2.496 0.000 0.000
Zn 0.000 0.000 1.843
Ni 2.496 2.496 1.843
C 2.496 2.496 0.000
```



Entry 6:
This record from the Alexandria database describes a relaxed structure of AcCd7Hg12. The functional is GGA-PBE.

Computed properties:
Energy relative to the elements = 56 meV per atom
Symmetry = Im-3
Distance to the lowest polymorph of the same formula = 10.6 kJ per mole of atoms

Cell and atoms, written as extended XYZ:
```
20
Lattice="-5.455 5.455 5.455 5.455 -5.455 5.455 5.455 5.455 -5.455" Properties=species:S:1:pos:R:3 pbc="T T T"
Ac 0.000 0.000 0.000
Cd 2.728 2.728 -2.728
Cd 2.728 -2.728 2.728
Cd 5.455 0.000 0.000
Cd -2.728 2.728 2.728
Cd 0.000 5.455 0.000
Cd 0.000 0.000 5.455
Cd 2.728 2.728 2.728
Hg 5.455 -2.393 3.748
Hg 3.062 1.707 0.000
Hg 7.848 1.707 0.000
Hg 3.748 5.455 -2.393
Hg 1.707 0.000 3.062
Hg 0.000 3.062 1.707
Hg 5.455 2.393 3.748
Hg 3.748 5.455 2.393
Hg 1.707 0.000 7.848
Hg -2.393 3.748 5.455
Hg 2.393 3.748 5.455
Hg 0.000 7.848 1.707
```



Entry 7:
This record from the Alexandria database describes a relaxed structure of LiFeSe2. The functional is GGA-PBE.

Computed properties:
Symmetry = Fm-3m

Cell and atoms, written as extended XYZ:
```
4
Lattice="0.000 3.121 3.121 3.121 0.000 3.121 3.121 3.121 0.000" Properties=species:S:1:pos:R:3 pbc="T T T"
Li 0.000 0.000 0.000
Fe 3.121 3.121 3.121
Se 1.561 1.561 1.561
Se 4.682 4.682 4.682
```



Entry 8:
This record from the Alexandria database describes a relaxed structure of Tb2YAg. The functional is GGA-PBE.

Computed properties:
Energy relative to the elements = -128 meV per atom
Symmetry = Cmcm
Distance to the lowest polymorph of the same formula = 0.0 kJ per mole of atoms

Cell and atoms, written as extended XYZ:
```
8
Lattice="1.860 -6.327 0.000 1.860 6.327 0.000 0.000 0.000 9.733" Properties=species:S:1:pos:R:3 pbc="T T T"
Tb 1.860 4.657 5.371
Tb 1.860 4.657 9.229
Tb 1.860 -4.657 0.504
Tb 1.860 -4.657 4.362
Y 1.860 0.677 7.300
Y 1.860 -0.677 2.433
Ag 1.860 3.125 2.433
Ag 1.860 -3.125 7.300
```



The records above give, respectively, uncorrected energy values of -3.46, -6.05, -7.41, -6.13, -6.18, -0.65, -4.50, -4.77 eV per atom.